# 1
First-principles (PBE) data for a relaxed Tb5Pr3Tm4 crystal, as listed in Alexandria via LeMat-Bulk.

Unit cell a=6.193 b=7.143 c=8.751 alpha=90.02 beta=90.08 gamma=90.13
Element x y z (fractional)
1 Tb 0.000 0.000 0.000
2 Tb 0.335 0.500 0.334
3 Tb 0.498 0.752 0.000
4 Tb 0.502 0.248 0.000
5 Tb 0.665 0.500 0.666
6 Pr 0.000 0.500 0.000
7 Pr 0.166 0.248 0.665
8 Pr 0.834 0.752 0.335
9 Tm 0.169 0.752 0.666
10 Tm 0.334 0.000 0.334
11 Tm 0.666 0.000 0.666
12 Tm 0.831 0.248 0.334

Summary:
Electronic total energy, eV/atom: -4.5943
Excess energy over the best structure of this formula in the dataset, meV/atom: 0


# 2
First-principles (PBE) data for a relaxed Tb5Pr4Tm crystal, as listed in Alexandria via LeMat-Bulk.

Unit cell a=8.825 b=8.825 c=11.330 alpha=90.19 beta=90.19 gamma=23.25
Element x y z (fractional)
1 Tb 0.000 0.000 0.000
2 Tb 0.327 0.327 0.051
3 Tb 0.328 0.328 0.451
4 Tb 0.672 0.672 0.549
5 Tb 0.673 0.673 0.949
6 Pr 0.158 0.158 0.250
7 Pr 0.469 0.469 0.251
8 Pr 0.531 0.531 0.749
9 Pr 0.842 0.842 0.750
10 Tm 0.000 0.000 0.500

Summary:
Electronic total energy, eV/atom: -4.4897
Excess energy over the best structure of this formula in the dataset, meV/atom: 0


# 3
First-principles (PBE) data for a relaxed Tb3Pr4Tm5 crystal, as listed in Alexandria via LeMat-Bulk.

Unit cell a=8.580 b=8.580 c=9.426 alpha=115.38 beta=115.38 gamma=40.56
Element x y z (fractional)
1 Tb 0.000 0.000 0.000
2 Tb 0.284 0.284 0.757
3 Tb 0.716 0.716 0.243
4 Pr 0.284 0.284 0.114
5 Pr 0.413 0.413 0.551
6 Pr 0.587 0.587 0.449
7 Pr 0.716 0.716 0.886
8 Tm 0.069 0.069 0.702
9 Tm 0.169 0.169 0.378
10 Tm 0.500 0.500 0.000
11 Tm 0.831 0.831 0.622
12 Tm 0.931 0.931 0.298

Summary:
Electronic total energy, eV/atom: -4.3856